(1)
Compound: CeDyMgAu
Source: Alexandria via LeMat-Bulk
Functional: PBE
Structure: relaxed

Results
Formation energy   -0.281 eV per atom
Crystal system   cubic

```
CeDyMgAu
1.0
0.000 3.718 3.718
3.718 0.000 3.718
3.718 3.718 0.000
Ce Dy Mg Au
1 1 1 1
Direct
0.000 0.000 0.000
0.500 0.500 0.500
0.750 0.750 0.750
0.250 0.250 0.250
```



(2)
Compound: CsBeP2Cl
Source: Alexandria via LeMat-Bulk
Functional: PBE
Structure: relaxed

Results
Distance to the lowest polymorph of the same formula   0.000 eV/atom
E_form (uncorrected)   -0.052 eV/atom
Crystal system   tetragonal

```
CsBeP2Cl
1.0
4.335 0.000 0.000
0.000 4.335 0.000
0.000 0.000 7.909
Cs Be P Cl
1 1 2 1
Direct
0.000 0.000 0.000
0.500 0.500 0.500
0.000 0.500 0.500
0.500 0.000 0.500
0.500 0.500 0.000
```



(3)
Compound: Ac14TbHo
Source: Alexandria via LeMat-Bulk
Functional: PBE
Structure: relaxed

Results
Formation energy   0.031 eV per atom
Crystal system   orthorhombic

```
Ac14TbHo
1.0
11.186 0.000 0.000
0.000 5.562 5.562
0.000 -5.562 5.562
Ac Tb Ho
14 1 1
Direct
0.000 0.000 0.000
0.000 0.000 0.501
0.000 0.500 0.500
0.000 0.501 0.000
0.256 0.250 0.250
0.257 0.250 0.750
0.257 0.750 0.250
0.257 0.750 0.750
0.500 0.001 0.500
0.500 0.500 0.001
0.743 0.250 0.750
0.743 0.750 0.250
0.743 0.750 0.750
0.744 0.250 0.250
0.500 0.500 0.500
0.500 0.000 0.000
```



(4)
Compound: CsNaI2
Source: Alexandria via LeMat-Bulk
Functional: PBE
Structure: relaxed

Results
Distance to the lowest polymorph of the same formula   0.014 eV/atom
E_form (uncorrected)   -1.354 eV/atom
Crystal system   orthorhombic

```
CsNaI2
1.0
5.755 0.000 0.000
0.000 2.450 7.302
0.000 -2.450 7.302
Cs Na I
1 1 2
Direct
0.000 0.000 0.000
0.500 0.220 0.220
0.000 0.295 0.295
0.500 0.582 0.582
```



(5)
Compound: Dy4Cu2Pd
Source: Alexandria via LeMat-Bulk
Functional: PBE
Structure: relaxed

Results
Distance to the lowest polymorph of the same formula   0.020 eV/atom
Formation energy   -0.306 eV per atom
Crystal system   trigonal

```
Dy4Cu2Pd
1.0
2.451 1.415 7.963
-2.451 1.415 7.963
0.000 -2.830 7.963
Dy Cu Pd
4 2 1
Direct
0.123 0.123 0.123
0.374 0.374 0.374
0.626 0.626 0.626
0.877 0.877 0.877
0.251 0.251 0.251
0.749 0.749 0.749
0.500 0.500 0.500
```



(6)
Compound: Lu2AlPb
Source: Alexandria via LeMat-Bulk
Functional: PBE
Structure: relaxed

Results
Formation energy   -0.338 eV per atom
Crystal system   tetragonal

```
Lu2AlPb
1.0
3.389 0.000 0.000
0.000 3.389 0.000
0.000 0.000 8.633
Lu Al Pb
2 1 1
Direct
0.000 0.000 0.227
0.000 0.000 0.773
0.500 0.500 0.000
0.500 0.500 0.500
```



no.,total magnetic moment (μB/f.u.)
1,1.026
2,0.000
3,0.000
4,0.000
5,0.000
6,0.000